[1]
The following is a DFT calculation (PBE-GGA) of an optimized crystal structure of MnCu2NiH.

Properties
Crystal system   tetragonal
E above lowest polymorph   1.4 kJ per mole of atoms
Total moment   0.92 μB per atom

Unit cell a=3.770 b=3.770 c=3.646 alpha=90.00 beta=90.00 gamma=90.00
Fractional positions:
Mn 0.000 0.000 0.000
Cu 0.000 0.500 0.500
Cu 0.500 0.000 0.500
Ni 0.500 0.500 0.000
H 0.500 0.500 0.500

=====

[2]
The following is a DFT calculation (PBE-GGA) of an optimized crystal structure of Mn2CuNiH.

Properties
Crystal system   tetragonal
E above lowest polymorph   0.0 kJ per mole of atoms
Total moment   1.50 μB per atom

Unit cell a=3.884 b=3.884 c=3.494 alpha=90.00 beta=90.00 gamma=90.00
Fractional positions:
Mn 0.000 0.500 0.000
Mn 0.500 0.000 0.000
Cu 0.000 0.000 0.500
Ni 0.500 0.500 0.500
H 0.500 0.500 0.000

=====

[3]
The following is a DFT calculation (PBE-GGA) of an optimized crystal structure of Mn2CuNiH.

Properties
Crystal system   tetragonal
E above lowest polymorph   4.9 kJ per mole of atoms
Total moment   1.50 μB per atom

Unit cell a=3.831 b=3.831 c=3.575 alpha=90.00 beta=90.00 gamma=90.00
Fractional positions:
Mn 0.000 0.500 0.000
Mn 0.500 0.000 0.000
Cu 0.000 0.000 0.500
Ni 0.500 0.500 0.500
H 0.000 0.000 0.000